Here is an optimized crystal structure of AgP3 from Alexandria. Energies are from PBE.

```
4
Lattice="3.240 0.000 0.000 -1.620 2.806 0.000 0.000 0.000 7.131" Properties=species:S:1:pos:R:3 pbc="T T T"
Ag 0.000 0.000 0.000
P 0.000 0.000 3.566
P 1.620 0.935 1.997
P 1.620 0.935 5.135
```

Output
**SG**: P-6m2 (187)
**Energy of formation from the pure elements**: 0.43 eV/atom
**E_tot**: -17.38 eV per cell
**Energy above the lowest structure with this stoichiometry**: 5.59 kcal/mol of atoms